# Ce2Tl3AgSe6

Ce2Tl3AgSe6 after structural relaxation (PBE, Alexandria).

a = 7.2579 Å, b = 12.6600 Å, c = 8.0685 Å
α = 90.00°, β = 106.98°, γ = 90.00°
Last column: nearest neighbours and their distance in Å.
Space group C2/m (No. 12)
One atom of each set of equivalent atoms:
Ce: 0.0000 0.1670 0.0000  6 Se 2.87-2.88
Tl: 0.0000 0.0000 0.5000  6 Se 3.28-3.35
Tl: 0.0000 0.3380 0.5000  6 Se 3.26-3.34
Ag: 0.0000 0.5000 0.0000  6 Se 2.91-3.03
Se: 0.2261 0.0000 0.2019  2 Ce 2.87, 1 Ag 2.91
Se: 0.2440 0.3254 0.2122  2 Ce 2.87-2.88, 1 Ag 3.03

**Total energy**: -4.55 eV per atom

# AcSn4As

AcSn4As after structural relaxation (PBE, Alexandria).

a = 8.7852 Å, b = 8.7852 Å, c = 8.7852 Å
α = 90.00°, β = 90.00°, γ = 90.00°
Last column: nearest neighbours and their distance in Å.
Space group F-43m (No. 216)
One atom of each set of equivalent atoms:
Ac: 0.0000 0.0000 0.0000  12 Sn 3.64, 4 As 3.80
Sn: 0.1246 0.1246 0.3754  6 Sn 3.10-3.12
As: 0.2500 0.2500 0.7500  12 Sn 3.64, 4 Ac 3.80

**DOS(E_F)**: 9.29 states/eV/cell
**E_form**: -0.16 eV/atom

# Li2H5Pt

Li2H5Pt after structural relaxation (PBE, Alexandria).

a = 4.7133 Å, b = 4.7133 Å, c = 6.1498 Å
α = 90.00°, β = 90.00°, γ = 90.00°
Last column: nearest neighbours and their distance in Å.
Space group I4mm (No. 107)
One atom of each set of equivalent atoms:
Li: 0.0000 0.5000 0.0000  10 H 2.25-2.36
H: 0.0000 0.0000 0.0224  1 Pt 1.64
H: 0.2487 0.2487 0.7450  1 Pt 1.66
Pt: 0.0000 0.0000 0.7563  5 H 1.64-1.66

**DOS(E_F)**: 3.43 states/eV/cell
**Excess energy over the best structure of this formula in the dataset**: 97 meV/atom

# Tc2Ni

Tc2Ni after structural relaxation (PBE, Alexandria).

a = 7.0981 Å, b = 7.0981 Å, c = 7.0981 Å
α = 90.00°, β = 90.00°, γ = 90.00°
Last column: nearest neighbours and their distance in Å.
Space group Fd-3m (No. 227, origin choice 2)
One atom of each set of equivalent atoms:
Tc: 0.0000 0.0000 0.0000  6 Tc 2.51
Ni: 0.1250 0.1250 0.6250  12 Tc 2.94, 4 Ni 3.07

**DOS(E_F)**: 25.25 states/eV/cell
**Excess energy over the best structure of this formula in the dataset**: 641 meV/atom
**E_form**: 0.57 eV/atom

# AgAu

AgAu after structural relaxation (PBE, Alexandria).

a = 4.0919 Å, b = 4.1442 Å, c = 4.2286 Å
α = 90.00°, β = 90.00°, γ = 90.00°
Last column: nearest neighbours and their distance in Å.
Space group Cmmm (No. 65)
One atom of each set of equivalent atoms:
Ag: 0.0000 0.0000 0.0000  4 Ag 2.91, 8 Au 2.94-2.96
Au: 0.0000 0.5000 0.5000  4 Au 2.91, 8 Ag 2.94-2.96

**DOS(E_F)**: 0.84 states/eV/cell
**E_form**: -0.05 eV/atom

# Sr2Se

Sr2Se after structural relaxation (PBE, Alexandria).

a = 4.3645 Å, b = 17.3563 Å, c = 6.3901 Å
α = 90.00°, β = 90.00°, γ = 90.00°
Last column: nearest neighbours and their distance in Å.
Space group Cmcm (No. 63)
One atom of each set of equivalent atoms:
Sr: 0.0000 0.0669 0.2500  2 Se 3.09
Sr: 0.0000 0.3225 0.2500  4 Se 3.13-3.21
Se: 0.0000 0.3066 0.7500  6 Sr 3.09-3.21

**DOS(E_F)**: 5.94 states/eV/cell
**Total energy**: -3.54 eV per atom

# TmAg2Pb

TmAg2Pb after structural relaxation (PBE, Alexandria).

a = 4.4998 Å, b = 4.4998 Å, c = 4.4890 Å
α = 90.00°, β = 90.00°, γ = 90.00°
Last column: nearest neighbours and their distance in Å.
Space group P4/mmm (No. 123)
One atom of each set of equivalent atoms:
Tm: 0.0000 0.0000 0.0000  8 Ag 3.18, 4 Pb 3.18
Ag: 0.0000 0.5000 0.5000  4 Pb 3.18, 4 Tm 3.18, 4 Ag 3.18
Pb: 0.5000 0.5000 0.0000  8 Ag 3.18, 4 Tm 3.18

**DOS(E_F)**: 2.36 states/eV/cell
**E_form**: -0.19 eV/atom

# SrMgGe

SrMgGe after structural relaxation (PBE, Alexandria).

a = 4.6031 Å, b = 4.6031 Å, c = 4.6788 Å
α = 90.00°, β = 90.00°, γ = 120.00°
Last column: nearest neighbours and their distance in Å.
Space group P3m1 (No. 156)
One atom of each set of equivalent atoms:
Sr: 0.0000 0.0000 0.0000  6 Ge 3.54, 6 Mg 3.54
Mg: 0.3333 0.6667 0.5001  3 Ge 2.66
Ge: 0.6667 0.3333 0.5011  3 Mg 2.66

**DOS(E_F)**: 1.82 states/eV/cell
**E_form**: -0.40 eV/atom